# 1
A geometry-optimized PuIn5Ga structure. Source: Alexandria via LeMat-Bulk, functional GGA-PBE.

Lattice parameters (Å, degrees): 4.9532 4.9532 7.3683 90.00 90.00 90.00
Last column: nearest neighbours and their distance in Å.
Fractional coordinates of all 7 atoms:
In: 0.0000 0.5000 0.7126  2 Ga 2.93, 3 In 3.13-3.26, 2 Pu 3.26
In: 0.5000 0.0000 0.7126  2 Ga 2.93, 3 In 3.13-3.26, 2 Pu 3.26
In: 0.0000 0.5000 0.2874  2 Ga 2.93, 3 In 3.13-3.26, 2 Pu 3.26
In: 0.5000 0.0000 0.2874  2 Ga 2.93, 3 In 3.13-3.26, 2 Pu 3.26
In: 0.5000 0.5000 0.0000  8 In 3.26, 4 Pu 3.50
Pu: 0.0000 0.0000 0.0000  12 In 3.26-3.50
Ga: 0.0000 0.0000 0.5000  8 In 2.93

Computed properties:
Symmetry: P4/mmm (123)
Formation energy (eV/atom): -0.0872
Total magnetic moment (μB per atom): 0.83



# 2
A geometry-optimized Y2AlRuW structure. Source: Alexandria via LeMat-Bulk, functional GGA-PBE.

Lattice parameters (Å, degrees): 5.3524 4.3242 5.3524 90.00 90.00 90.00
Last column: nearest neighbours and their distance in Å.
Fractional coordinates of all 5 atoms:
Y: 0.0000 0.0000 0.5000  2 Al 2.68
Y: 0.5000 0.0000 0.0000  2 Al 2.68
Al: 0.0000 0.0000 0.0000  2 Ru 2.16
Ru: 0.0000 0.5000 0.0000  2 Al 2.16
W: 0.5000 0.5000 0.5000  8 Y 3.44, 4 Ru 3.78

Computed properties:
Symmetry: P4/mmm (123)
Formation energy (eV/atom): 1.0748
Total magnetic moment (μB per atom): 0.59



# 3
A geometry-optimized PmAlSn2 structure. Source: Alexandria via LeMat-Bulk, functional GGA-PBE.

Lattice parameters (Å, degrees): 4.9853 4.9853 8.3497 72.63 72.63 60.00
Last column: nearest neighbours and their distance in Å.
Fractional coordinates of all 4 atoms:
Al: 0.0000 0.0000 0.0000  2 Sn 2.62
Sn: 0.1116 0.1116 0.6651  1 Al 2.62
Sn: 0.8884 0.8884 0.3349  1 Al 2.62
Pm: 0.5000 0.5000 0.5000  6 Sn 3.16

Computed properties:
Offset from the most stable computed form (eV per atom): 0.832
Symmetry: R-3m (166)
Formation energy (eV/atom): 0.4029
Total magnetic moment (μB per atom): 0.00



# 4
A geometry-optimized Ba2MgIn4Hg3 structure. Source: Alexandria via LeMat-Bulk, functional GGA-PBE.

Lattice parameters (Å, degrees): 4.9319 4.9319 12.3033 90.00 90.00 90.00
Last column: nearest neighbours and their distance in Å.
Fractional coordinates of all 10 atoms:
Ba: 0.0000 0.5000 0.7500  6 Hg 3.75-3.94, 8 In 3.78-3.94, 2 Mg 3.94
Ba: 0.5000 0.0000 0.2500  6 Hg 3.75-3.94, 8 In 3.78-3.94, 2 Mg 3.94
Hg: 0.5000 0.0000 0.8626  5 In 2.85-2.99
Hg: 0.0000 0.0000 0.5000  4 In 2.95
Hg: 0.0000 0.5000 0.1374  5 In 2.85-2.99
In: 0.5000 0.5000 0.0000  4 Hg 2.99
In: 0.5000 0.0000 0.6311  3 Hg 2.85-2.95, 2 Mg 2.95
In: 0.0000 0.0000 0.0000  4 Hg 2.99
In: 0.0000 0.5000 0.3689  3 Hg 2.85-2.95, 2 Mg 2.95
Mg: 0.5000 0.5000 0.5000  4 In 2.95

Computed properties:
Symmetry: P-4m2 (115)
Formation energy (eV/atom): -0.3582
Total magnetic moment (μB per atom): 0.00



# 5
A geometry-optimized LiFeCu2 structure. Source: Alexandria via LeMat-Bulk, functional GGA-PBE.

Lattice parameters (Å, degrees): 3.4842 3.4842 8.9702 78.80 78.80 90.00
Last column: nearest neighbours and their distance in Å.
Fractional coordinates of all 8 atoms:
Li: 0.2500 0.7500 0.5000  4 Fe 2.46, 4 Cu 2.48
Li: 0.5000 0.5000 0.0000  4 Fe 2.46, 4 Cu 2.48
Cu: 0.3750 0.3773 0.7500  4 Cu 2.45-2.47, 2 Li 2.48, 2 Fe 2.49
Cu: 0.1273 0.6250 0.2500  4 Cu 2.45-2.47, 2 Li 2.48, 2 Fe 2.49
Cu: 0.8750 0.8727 0.7500  4 Cu 2.45-2.47, 2 Li 2.48, 2 Fe 2.49
Cu: 0.6227 0.1250 0.2500  4 Cu 2.45-2.47, 2 Li 2.48, 2 Fe 2.49
Fe: 0.7500 0.2500 0.5000  4 Li 2.46, 4 Cu 2.49
Fe: 0.0000 0.0000 0.0000  4 Li 2.46, 4 Cu 2.49

Computed properties:
Symmetry: I-42d (122)
Formation energy (eV/atom): 0.4876
Total magnetic moment (μB per atom): 0.70



# 6
A geometry-optimized NbSnF3 structure. Source: Alexandria via LeMat-Bulk, functional GGA-PBE.

Lattice parameters (Å, degrees): 4.6156 4.6156 4.6156 90.00 90.00 90.00
Last column: nearest neighbours and their distance in Å.
Fractional coordinates of all 5 atoms:
Sn: 0.0000 0.0000 0.0000  6 F 2.31
Nb: 0.5000 0.5000 0.5000  12 F 3.26
F: 0.5000 0.0000 0.0000  2 Sn 2.31
F: 0.0000 0.5000 0.0000  2 Sn 2.31
F: 0.0000 0.0000 0.5000  2 Sn 2.31

Computed properties:
Offset from the most stable computed form (eV per atom): 0.669
Symmetry: Pm-3m (221)
Formation energy (no corrections) (meV/atom): -861
Total magnetic moment (μB per atom): 0.80



# 7
A geometry-optimized TaTlGa2Ag structure. Source: Alexandria via LeMat-Bulk, functional GGA-PBE.

Lattice parameters (Å, degrees): 5.1430 5.4444 5.1430 90.00 90.00 90.00
Last column: nearest neighbours and their distance in Å.
Fractional coordinates of all 5 atoms:
Ta: 0.0000 0.5000 0.0000  2 Tl 2.72
Tl: 0.0000 0.0000 0.0000  4 Ga 2.57, 2 Ta 2.72
Ga: 0.5000 0.0000 0.0000  2 Tl 2.57
Ga: 0.0000 0.0000 0.5000  2 Tl 2.57
Ag: 0.5000 0.5000 0.5000  4 Ta 3.64, 8 Ga 3.74

Computed properties:
Symmetry: P4/mmm (123)
Formation energy (eV/atom): 1.5354
Total magnetic moment (μB per atom): 0.23



# 8
A geometry-optimized Na3CaN structure. Source: Alexandria via LeMat-Bulk, functional GGA-PBE.

Lattice parameters (Å, degrees): 6.2580 6.2580 6.2580 90.00 90.00 90.00
Last column: nearest neighbours and their distance in Å.
Fractional coordinates of all 5 atoms:
Ca: 0.0000 0.0000 0.0000  6 Na 3.13
N: 0.5000 0.5000 0.5000  12 Na 4.43
Na: 0.0000 0.5000 0.0000  2 Ca 3.13
Na: 0.5000 0.0000 0.0000  2 Ca 3.13
Na: 0.0000 0.0000 0.5000  2 Ca 3.13

Computed properties:
Offset from the most stable computed form (eV per atom): 1.346
Symmetry: Pm-3m (221)
Formation energy (no corrections) (meV/atom): 1756
Total magnetic moment (μB per atom): 0.00